No. 1
{"formula": "NbAlSe3", "functional": "GGA-PBE", "state": "relaxed", "rho_g_cm3": 5.32, "spacegroup": "Pm-3m", "final_energy_ev_per_fu": -22.94, "e_form_raw_ev_per_atom": 0.27, "lattice_angstrom": [[-3.576, 2.364, -2.185], [1.374, -1.834, -4.231], [-2.911, -3.769, 0.688]], "species": ["Se", "Nb", "Se", "Se", "Al"], "fractional_positions": [[0.000, 0.500, 0.000], [0.500, 0.500, 0.500], [0.000, 0.000, 0.500], [0.500, 0.000, 0.000], [0.000, 0.000, 0.000]]}

***

No. 2
{"formula": "NbAlSe2", "functional": "GGA-PBE", "state": "relaxed", "rho_g_cm3": 4.67, "spacegroup": "I-42d", "final_energy_ev_per_fu": -21.11, "e_form_raw_ev_per_atom": -0.08, "lattice_angstrom": [[5.959, 0.000, 0.000], [0.000, 5.959, 0.000], [2.979, 2.979, 5.559]], "species": ["Se", "Se", "Al", "Nb", "Al", "Se", "Nb", "Se"], "fractional_positions": [[0.875, 0.856, 0.750], [0.375, 0.394, 0.750], [0.250, 0.750, 0.500], [0.000, 0.000, 0.000], [0.500, 0.500, 0.000], [0.606, 0.125, 0.250], [0.750, 0.250, 0.500], [0.144, 0.625, 0.250]]}

***

No. 3
{"formula": "NbAlSe", "functional": "GGA-PBE", "state": "relaxed", "rho_g_cm3": 5.74, "spacegroup": "Pmma", "final_energy_ev_per_fu": -18.12, "e_form_raw_ev_per_atom": -0.27, "lattice_angstrom": [[5.776, 0.000, 0.000], [0.000, 3.326, 0.448], [0.000, -0.791, 5.883]], "species": ["Nb", "Se", "Al", "Nb", "Al", "Se"], "fractional_positions": [[0.750, 0.369, 0.236], [0.500, 0.869, 0.956], [0.500, 0.869, 0.528], [0.250, 0.369, 0.236], [0.000, 0.869, 0.943], [0.000, 0.869, 0.515]]}

***

No. 4
{"formula": "Nb2AlSe", "functional": "GGA-PBE", "state": "relaxed", "rho_g_cm3": 6.46, "spacegroup": "I-42d", "final_energy_ev_per_fu": -27.08, "e_form_raw_ev_per_atom": 0.07, "lattice_angstrom": [[3.951, 0.000, 0.000], [0.000, 3.951, 0.000], [1.975, 1.975, 9.604]], "species": ["Nb", "Se", "Al", "Nb", "Se", "Al", "Nb", "Nb"], "fractional_positions": [[0.375, 0.378, 0.750], [0.750, 0.250, 0.500], [0.500, 0.500, 0.000], [0.875, 0.872, 0.750], [0.000, 0.000, 0.000], [0.250, 0.750, 0.500], [0.622, 0.125, 0.250], [0.128, 0.625, 0.250]]}

***

No. 5
{"formula": "Nb2AlVSe", "functional": "GGA-PBE", "state": "relaxed", "rho_g_cm3": 5.56, "spacegroup": "P4/mmm", "final_energy_ev_per_fu": -31.54, "e_form_raw_ev_per_atom": 0.99, "lattice_angstrom": [[-4.534, -1.182, 0.722], [-0.252, -1.625, -4.246], [1.360, -4.268, 1.552]], "species": ["Al", "Nb", "Se", "Nb", "V"], "fractional_positions": [[0.000, 0.500, 0.000], [0.000, 0.000, 0.500], [0.000, 0.000, 0.000], [0.500, 0.000, 0.000], [0.500, 0.500, 0.500]]}

***

No. 6
{"formula": "Nb2AlVSe", "functional": "GGA-PBE", "state": "relaxed", "rho_g_cm3": 5.41, "spacegroup": "P4/mmm", "final_energy_ev_per_fu": -30.68, "e_form_raw_ev_per_atom": 1.16, "lattice_angstrom": [[-0.854, -4.146, 2.330], [4.259, -0.053, 1.468], [-1.324, 2.481, 3.930]], "species": ["Nb", "Al", "Se", "Nb", "V"], "fractional_positions": [[0.500, 0.000, 0.000], [0.000, 0.000, 0.000], [0.500, 0.500, 0.500], [0.000, 0.000, 0.500], [0.000, 0.500, 0.000]]}